A relaxed structure of LaCrRh2, computed with PBE.

Calculated values
- Theoretical density: 8.1 g/cm³
- Size of the total moment: 2.447 μB/cell
- Excess energy over the best structure of this formula in the dataset: 0.012 eV per atom
- Energy relative to the elements: -0.14 eV/atom
- Symmetry: Cm (8)

Cell: 4.1876 4.1876 5.8642 Å, 111.07 111.07 60.07°
Last column: nearest neighbours and their distance in Å.
Fractional coordinates of all 4 atoms:
La 0.0000 0.0000 0.0000  4 Cr 3.04-3.34, 6 Rh 3.06-3.25
Cr 0.8109 0.8109 0.4308  6 Rh 2.42-2.68
Rh 0.2163 0.2163 0.6466  3 Cr 2.67-2.68, 3 Rh 2.74
Rh 0.4690 0.4690 0.4060  3 Cr 2.42

A relaxed structure of KRb2AuBr6, computed with PBE.

Calculated values
- Energy relative to the elements, uncorrected: -0.997 eV per atom
- Theoretical density: 3.8 g/cm³
- Size of the total moment: 1.687 μB/cell
- Excess energy over the best structure of this formula in the dataset: 0.030 eV per atom
- Symmetry: Fm-3m (225)

Cell: 8.1724 8.1724 8.1724 Å, 60.00 60.00 60.00°
Last column: nearest neighbours and their distance in Å.
Fractional coordinates of all 10 atoms:
K 0.0000 0.0000 0.0000  6 Br 3.12
Rb 0.2500 0.2500 0.2500  12 Br 4.09
Rb 0.7500 0.7500 0.7500  12 Br 4.09
Au 0.5000 0.5000 0.5000  6 Br 2.66
Br 0.2697 0.2697 0.7303  1 Au 2.66
Br 0.2697 0.7303 0.2697  1 Au 2.66
Br 0.2697 0.7303 0.7303  1 Au 2.66
Br 0.7303 0.2697 0.2697  1 Au 2.66
Br 0.7303 0.2697 0.7303  1 Au 2.66
Br 0.7303 0.7303 0.2697  1 Au 2.66

A relaxed structure of Na2InHSe, computed with PBE.

Calculated values
- Theoretical density: 3.9 g/cm³
- Size of the total moment: 0.000 μB/cell
- Electronic total energy: -14.14 eV for the cell shown
- Symmetry: P4/mmm (123)

Cell: 4.6661 4.6661 4.7347 Å, 90.00 90.00 90.00°
Last column: nearest neighbours and their distance in Å.
Fractional coordinates of all 5 atoms:
Na 0.0000 0.5000 0.0000  2 H 2.33
Na 0.5000 0.0000 0.0000  2 H 2.33
In 0.0000 0.0000 0.5000  2 H 2.37
H 0.0000 0.0000 0.0000  4 Na 2.33, 2 In 2.37
Se 0.5000 0.5000 0.5000  4 In 3.30, 8 Na 3.32

A relaxed structure of Tb3CoRh8, computed with PBE.

Calculated values
- Theoretical density: 10.8 g/cm³
- Size of the total moment: 2.347 μB/cell
- Energy relative to the elements: -0.45 eV/atom
- Symmetry: R3m (160)

Cell: 9.1741 9.1741 9.1741 Å, 33.44 33.44 33.44°
Last column: nearest neighbours and their distance in Å.
Fractional coordinates of all 12 atoms:
Tb 0.0000 0.0000 0.0000  12 Rh 3.10-3.14, 4 Tb 3.35-3.38
Tb 0.1301 0.1301 0.1301  12 Rh 2.96-3.16, 3 Co 3.09
Tb 0.6131 0.6131 0.6131  9 Rh 2.96-3.16
Co 0.4842 0.4842 0.4842  6 Rh 2.73-3.05
Rh 0.0610 0.0610 0.5612  6 Rh 2.61-2.67
Rh 0.0610 0.5612 0.0610  6 Rh 2.61-2.67
Rh 0.0637 0.5632 0.5632  6 Rh 2.64-2.67, 1 Co 2.73
Rh 0.3121 0.3121 0.3121  6 Rh 2.67
Rh 0.5612 0.0610 0.0610  6 Rh 2.61-2.67
Rh 0.5632 0.0637 0.5632  6 Rh 2.64-2.67, 1 Co 2.73
Rh 0.5632 0.5632 0.0637  6 Rh 2.64-2.67, 1 Co 2.73
Rh 0.8128 0.8128 0.8128  6 Rh 2.61-2.64

A relaxed structure of RbMgCd2Au, computed with PBE.

Calculated values
- Theoretical density: 5.7 g/cm³
- Size of the total moment: 0.000 μB/cell
- Energy relative to the elements: -0.13 eV/atom
- Symmetry: P4/mmm (123)

Cell: 5.4412 5.4412 5.2536 Å, 90.00 90.00 90.00°
Last column: nearest neighbours and their distance in Å.
Fractional coordinates of all 5 atoms:
Rb 0.0000 0.0000 0.0000  8 Cd 3.78, 4 Mg 3.85
Mg 0.5000 0.5000 0.0000  2 Au 2.63
Cd 0.0000 0.5000 0.5000  2 Au 2.72
Cd 0.5000 0.0000 0.5000  2 Au 2.72
Au 0.5000 0.5000 0.5000  2 Mg 2.63, 4 Cd 2.72

A relaxed structure of La5CeDy4, computed with PBE.

Calculated values
- Theoretical density: 7.2 g/cm³
- Size of the total moment: 0.349 μB/cell
- Energy relative to the elements: 0.10 eV/atom
- Symmetry: C2/m (12)

Cell: 9.2384 9.2384 11.1499 Å, 106.11 106.11 22.07°
Last column: nearest neighbours and their distance in Å.
Fractional coordinates of all 10 atoms:
La 0.0000 0.0000 0.0000  10 La 3.54-3.96, 4 Dy 3.89
La 0.2966 0.2966 0.8989  2 Dy 3.52, 7 La 3.54-3.82
La 0.3971 0.3971 0.2208  3 Dy 3.43-3.61, 5 La 3.54-3.82, 2 Ce 3.61
La 0.6029 0.6029 0.7792  3 Dy 3.43-3.61, 5 La 3.54-3.82, 2 Ce 3.61
La 0.7034 0.7034 0.1011  2 Dy 3.52, 7 La 3.54-3.82
Ce 0.0000 0.0000 0.5000  6 Dy 3.40-3.49, 2 Ce 3.54, 4 La 3.61
Dy 0.1952 0.1952 0.5792  1 Ce 3.40, 7 Dy 3.46-3.67, 3 La 3.52-3.61
Dy 0.4058 0.4058 0.6830  2 La 3.43-3.52, 5 Dy 3.46-3.67, 2 Ce 3.49
Dy 0.5942 0.5942 0.3170  2 La 3.43-3.52, 5 Dy 3.46-3.67, 2 Ce 3.49
Dy 0.8048 0.8048 0.4208  1 Ce 3.40, 7 Dy 3.46-3.67, 3 La 3.52-3.61

A relaxed structure of Ag2HPd, computed with PBE.

Calculated values
- Theoretical density: 8.8 g/cm³
- Size of the total moment: 0.000 μB/cell
- Excess energy over the best structure of this formula in the dataset: 0.638 eV per atom
- Symmetry: Fm-3m (225)

Cell: 4.4132 4.4132 4.4132 Å, 60.00 60.00 60.00°
Last column: nearest neighbours and their distance in Å.
Fractional coordinates of all 4 atoms:
Ag 0.2500 0.2500 0.2500  4 H 2.70, 4 Pd 2.70
Ag 0.7500 0.7500 0.7500  4 H 2.70, 4 Pd 2.70
H 0.0000 0.0000 0.0000  8 Ag 2.70
Pd 0.5000 0.5000 0.5000  8 Ag 2.70

A relaxed structure of RbIrPt2, computed with PBE.

Calculated values
- Theoretical density: 9.2 g/cm³
- Size of the total moment: 0.000 μB/cell
- Excess energy over the best structure of this formula in the dataset: 0.000 eV per atom
- Energy relative to the elements: 0.42 eV/atom
- Symmetry: I-42d (122)

Cell: 9.0082 9.0082 9.0082 Å, 144.74 144.74 50.72°
Last column: nearest neighbours and their distance in Å.
Fractional coordinates of all 8 atoms:
Rb 0.0000 0.0000 0.0000  8 Pt 3.66-3.67, 4 Ir 3.86
Rb 0.7500 0.2500 0.5000  8 Pt 3.66-3.67, 4 Ir 3.86
Ir 0.2500 0.7500 0.5000  4 Pt 2.45
Ir 0.5000 0.5000 0.0000  4 Pt 2.45
Pt 0.3740 0.6250 0.2490  2 Ir 2.45, 2 Pt 2.73
Pt 0.3750 0.6240 0.7490  2 Ir 2.45, 2 Pt 2.73
Pt 0.3760 0.1250 0.7510  2 Ir 2.45, 2 Pt 2.73
Pt 0.8750 0.6260 0.2510  2 Ir 2.45, 2 Pt 2.73